Below is a crystal of Mn2FeCo relaxed with PBEsol, with properties calculated at the meta-GGA SCAN level.

a b c (Å): 2.425 2.425 6.952
angles (deg): 90.00 90.00 90.00
Atoms (fractional coordinates):
Mn (0.000, 0.000, 0.000)
Mn (0.500, 0.500, 0.260)
Fe (0.500, 0.500, 0.754)
Co (0.000, 0.000, 0.499)

Output
Density of states at the Fermi level ... 3.16 states/eV per cell
Energy of formation ... 44 kJ/mol of formula units
Density ... 9.12 g/cm3
Spin magnetization ... 1.08 μB per cell


Below is a crystal of YSeBr2 relaxed with PBEsol, with properties calculated at the meta-GGA SCAN level.

a b c (Å): 10.529 10.529 10.529
angles (deg): 19.93 19.93 19.93
Atoms (fractional coordinates):
Y (0.000, 0.000, 0.000)
Se (0.500, 0.500, 0.500)
Br (0.084, 0.084, 0.084)
Br (0.916, 0.916, 0.916)

Output
Density of states at the Fermi level ... 2.93 states/eV per cell
Raw formation energy ... -0.176 eV per atom
Density ... 4.59 g/cm3
Spin magnetization ... 2.07 μB per cell


Q: Among the records above, which one has the highest density of states at the Fermi level?
A: Mn2FeCo


Q: Among the records above, which one has the highest density?
A: Mn2FeCo